# 1
NpPdPb | PBE-GGA | relaxed

## Properties
magnetic moment = 0.323 μB/atom
ΔH_f (0 K) = -0.10 eV per atom

Lattice parameters (Å, degrees): 3.4254 9.0399 8.3786 90.00 90.00 90.00
Last column: nearest neighbours and their distance in Å.
Element x y z (fractional)
Pb: 0.7500 0.3959 0.8471  4 Pd 2.71-2.80
Pb: 0.2500 0.8959 0.6529  4 Pd 2.71-2.80
Pb: 0.7500 0.1041 0.3471  4 Pd 2.71-2.80
Pb: 0.2500 0.6041 0.1529  4 Pd 2.71-2.80
Np: 0.7500 0.5924 0.4973  2 Np 2.39
Np: 0.7500 0.9076 0.9973  2 Np 2.39
Np: 0.2500 0.0924 0.0027  2 Np 2.39
Np: 0.2500 0.4076 0.5027  2 Np 2.39
Pd: 0.7500 0.1400 0.6774  4 Pb 2.71-2.80
Pd: 0.2500 0.6400 0.8226  4 Pb 2.71-2.80
Pd: 0.2500 0.8600 0.3226  4 Pb 2.71-2.80
Pd: 0.7500 0.3600 0.1774  4 Pb 2.71-2.80

# 2
ErV4Tc | PBE-GGA | relaxed

## Properties
magnetic moment = 0.000 μB/atom
ΔH_f (0 K) = 0.14 eV per atom

Lattice parameters (Å, degrees): 5.1073 5.1073 5.1073 60.00 60.00 60.00
Last column: nearest neighbours and their distance in Å.
Element x y z (fractional)
Tc: 0.2500 0.2500 0.2500  12 V 3.00, 4 Er 3.13
V: 0.6254 0.6254 0.6254  6 V 2.55-2.56
V: 0.6254 0.6254 0.1238  6 V 2.55-2.56
V: 0.6254 0.1238 0.6254  6 V 2.55-2.56
V: 0.1238 0.6254 0.6254  6 V 2.55-2.56
Er: 0.0000 0.0000 0.0000  12 V 2.99, 4 Tc 3.13

# 3
Pm6PrTm2 | PBE-GGA | relaxed

## Properties
ΔE to the lowest computed polymorph = 0 meV/atom
magnetic moment = 0.000 μB/atom
ΔH_f (0 K) = 0.02 eV per atom

Lattice parameters (Å, degrees): 3.6283 8.8650 13.0017 132.57 81.94 90.05
Last column: nearest neighbours and their distance in Å.
Element x y z (fractional)
Pm: 0.3332 0.3344 0.3334  9 Pm 3.62-3.65, 2 Pr 3.62, 1 Tm 3.65
Pm: 0.2212 0.8938 0.5585  10 Pm 3.60-3.67, 2 Tm 3.60
Pm: 0.6668 0.6656 0.6666  9 Pm 3.62-3.65, 2 Pr 3.62, 1 Tm 3.65
Pm: 0.7788 0.1062 0.4415  10 Pm 3.60-3.67, 2 Tm 3.60
Pm: 0.8915 0.5547 0.2186  4 Tm 3.57-3.59, 7 Pm 3.60-3.67, 1 Pr 3.63
Pm: 0.1085 0.4453 0.7814  4 Tm 3.57-3.59, 7 Pm 3.60-3.67, 1 Pr 3.63
Pr: 0.0000 0.0000 0.0000  6 Pm 3.62-3.63, 4 Tm 3.62, 2 Pr 3.63
Tm: 0.5557 0.2242 0.8895  7 Pm 3.57-3.65, 3 Tm 3.61-3.63, 2 Pr 3.62
Tm: 0.4443 0.7758 0.1105  7 Pm 3.57-3.65, 3 Tm 3.61-3.63, 2 Pr 3.62